This record from Alexandria via LeMat-Bulk describes a geometry-optimized Li2TiFeO structure. The functional is GGA+U.

a b c (Å): 4.2149 4.2149 4.1222
angles (deg): 90.00 90.00 90.00
Space group P4/mmm (No. 123)
Inequivalent atoms, fractional coordinates:
Li 0.0000 0.5000 0.0000 x2
Ti 0.0000 0.0000 0.5000 x1
Fe 0.0000 0.0000 0.0000 x1
O 0.5000 0.5000 0.5000 x1

Summary:
crystal system	tetragonal
final energy	-15.95	eV/cell
volume	14.65	Å³ per atom